Density functional theory data (GGA-PBE) for a relaxed Ho2TmAg crystal.

Results
As for the energy above the most stable polymorph in this dataset: 12.0 kJ per mole of atoms. The calculation puts the formation energy at -1 kJ per mole of atoms. For the volume, the calculation gives 26.8 Å³ per atom. As for the total magnetization: 0.000 μB/atom.

a = 3.7275 Å, b = 5.3634 Å, c = 5.3634 Å
α = 90.00°, β = 90.00°, γ = 90.00°
Atoms (fractional coordinates):
1 Tm 0.5000 0.5000 0.5000
2 Ho 0.0000 0.5000 0.0000
3 Ho 0.0000 0.0000 0.5000
4 Ag 0.5000 0.0000 0.0000